AcTbCr2O8 | GGA+U | optimized geometry

```
data_AcTbCr2O8
_chemical_formula_sum 'Ac2 Tb2 Cr4 O16'
_cell_length_a 7.469
_cell_length_b 7.469
_cell_length_c 6.495
_cell_angle_alpha 90.00
_cell_angle_beta 90.00
_cell_angle_gamma 90.00
_symmetry_space_group_name_H-M 'I -4 m 2'
_symmetry_Int_Tables_number 119
_symmetry_space_group_name_Hall 'I -4 -2'
loop_
_atom_site_label
_atom_site_fract_x
_atom_site_fract_y
_atom_site_fract_z
Ac1 0.000 0.000 0.000
Tb1 0.000 0.500 0.750
Cr1 0.000 0.000 0.500
Cr2 0.000 0.500 0.250
O1 0.000 0.186 0.660
O2 0.000 0.329 0.072
```

Properties
**Electronic total energy**: -7.59 eV per atom
**Crystal system**: tetragonal
**Volume**: 362 Å³/cell